K5Cl GGA-PBEsol relaxed; N(E_F) = 0.565 states/eV/atom; energy relative to the elements, uncorrected = -523 meV/atom; calculated volume = 365.88 Å³/cell; space-group type = P-62m, No. 189; energy = -0.1324 Ry per atom
1.0
-0.4167 4.1125 1.3988
-9.7745 -1.0902 0.2934
5.4293 -2.1440 7.9209
K Cl
5 1
direct
0.0000 0.2355 0.2355
0.5000 0.3333 0.6667
0.0000 0.0000 0.7645
0.5000 0.6667 0.3333
0.0000 0.7645 0.0000
0.5000 0.0000 0.0000

=====

Cs2TlAgBr6 GGA-PBEsol relaxed; N(E_F) = 0.234 states/eV/atom; energy relative to the elements, uncorrected = -1021 meV/atom; calculated volume = 332.48 Å³/cell; space-group type = Fm-3m, No. 225; energy = -0.2151 Ry per atom
1.0
-3.6704 -6.0999 -3.1283
3.1258 -3.7253 -6.0679
2.8932 -7.1610 0.9042
Cs Br Tl Ag
2 6 1 1
direct
0.2500 0.2500 0.2500
0.7500 0.7500 0.7500
0.2540 0.7460 0.7460
0.7460 0.2540 0.2540
0.7460 0.2540 0.7460
0.2540 0.2540 0.7460
0.2540 0.7460 0.2540
0.7460 0.7460 0.2540
0.0000 0.0000 0.0000
0.5000 0.5000 0.5000

=====

NaLaS2 GGA-PBEsol relaxed; N(E_F) = 0.000 states/eV/atom; energy relative to the elements, uncorrected = -1852 meV/atom; calculated volume = 99.01 Å³/cell; space-group type = R-3m, No. 166; energy = -0.4212 Ry per atom
1.0
-0.7244 1.3841 3.8843
-2.6164 -2.0898 2.5130
3.8686 -3.8198 4.3388
S Na La
2 1 1
direct
0.7452 0.7452 0.7645
0.2548 0.2548 0.2355
0.5000 0.5000 0.5000
0.0000 0.0000 0.0000

=====

Sc2TcIr GGA-PBEsol relaxed; N(E_F) = 1.301 states/eV/atom; calculated volume = 68.90 Å³/cell; space-group type = R3m, No. 160; energy = -0.6223 Ry per atom
1.0
-0.0351 2.0249 2.0795
-2.1017 2.0016 0.0414
-5.9901 -4.3115 6.1231
Ir Sc Tc
1 2 1
direct
0.2450 0.2450 0.2651
0.7577 0.7577 0.7269
0.9912 0.9912 0.0264
0.5061 0.5061 0.4816

=====

Cs3SnOs GGA-PBEsol relaxed; N(E_F) = 0.568 states/eV/atom; calculated volume = 205.41 Å³/cell; space-group type = Pm-3m, No. 221; energy = -0.1940 Ry per atom
1.0
5.9003 0.0000 0.0000
0.0000 5.9003 0.0000
0.0000 0.0000 5.9003
Sn Os Cs
1 1 3
direct
0.5000 0.5000 0.5000
0.0000 0.0000 0.0000
0.5000 0.0000 0.0000
0.0000 0.5000 0.0000
0.0000 0.0000 0.5000

=====

MnB2 GGA-PBEsol relaxed; N(E_F) = 0.309 states/eV/atom; calculated volume = 21.93 Å³/cell; space-group type = P6/mmm, No. 191; energy = -0.6061 Ry per atom
1.0
-0.5319 -2.6384 -0.9949
1.5777 0.6034 -2.4437
1.3382 -1.1677 2.3813
B Mn
2 1
direct
0.5000 0.3333 0.6667
0.5000 0.6667 0.3333
0.0000 0.0000 0.0000

=====

CsNa7Ta8O24 GGA-PBEsol relaxed; N(E_F) = 0.000 states/eV/atom; energy relative to the elements, uncorrected = -2618 meV/atom; calculated volume = 499.37 Å³/cell; space-group type = Pm-3m, No. 221; energy = -0.6282 Ry per atom
1.0
-2.8256 -7.3649 0.8473
1.1551 0.4583 7.8357
-7.3229 2.9141 0.9091
O Ta Cs Na
24 8 1 7
direct
0.2529 0.5000 0.7471
0.0000 0.7431 0.2569
0.0000 0.7431 0.7431
0.5000 0.7471 0.7471
0.7471 0.7471 0.5000
0.7431 0.0000 0.2569
0.7471 0.5000 0.2529
0.7471 0.2529 0.5000
0.2569 0.0000 0.7431
0.2529 0.5000 0.2529
0.5000 0.7471 0.2529
0.7431 0.0000 0.7431
0.5000 0.2529 0.7471
0.2569 0.2569 0.0000
0.7431 0.2569 0.0000
0.0000 0.2569 0.2569
0.2569 0.0000 0.2569
0.7471 0.5000 0.7471
0.5000 0.2529 0.2529
0.2529 0.2529 0.5000
0.7431 0.7431 0.0000
0.2529 0.7471 0.5000
0.0000 0.2569 0.7431
0.2569 0.7431 0.0000
0.2520 0.2520 0.2520
0.2520 0.2520 0.7480
0.7480 0.7480 0.7480
0.7480 0.2520 0.2520
0.2520 0.7480 0.7480
0.7480 0.7480 0.2520
0.2520 0.7480 0.2520
0.7480 0.2520 0.7480
0.0000 0.0000 0.0000
0.5000 0.5000 0.5000
0.0000 0.0000 0.5000
0.0000 0.5000 0.0000
0.5000 0.0000 0.5000
0.5000 0.0000 0.0000
0.0000 0.5000 0.5000
0.5000 0.5000 0.0000

=====

Li2InPb GGA-PBEsol relaxed; offset from the most stable computed form = 47.3 meV per atom; N(E_F) = 0.429 states/eV/atom; calculated volume = 85.06 Å³/cell; space-group type = I-4m2, No. 119; energy = -0.2187 Ry per atom
1.0
4.3563 0.0000 0.0000
0.0000 4.3563 0.0000
-2.1781 -2.1781 4.4820
Li In Pb
2 1 1
direct
0.0000 0.0000 0.0000
0.7500 0.2500 0.5000
0.2500 0.7500 0.5000
0.5000 0.5000 0.0000

=====

YRe2Pt GGA-PBEsol relaxed; offset from the most stable computed form = 234.8 meV per atom; N(E_F) = 0.966 states/eV/atom; calculated volume = 66.47 Å³/cell; space-group type = R3m, No. 160; energy = -0.7288 Ry per atom
1.0
-2.4348 1.1962 -0.8691
-0.9432 -0.4529 -2.6495
-5.9217 -7.3316 1.8300
Y Re Pt
1 2 1
direct
0.5011 0.5011 0.4967
0.7413 0.7413 0.7761
0.0022 0.0022 0.9933
0.2554 0.2554 0.2338

=====

KSe GGA-PBEsol relaxed; N(E_F) = 0.282 states/eV/atom; energy relative to the elements, uncorrected = -855 meV/atom; calculated volume = 133.12 Å³/cell; space-group type = Cmcm, No. 63; energy = -0.2460 Ry per atom
1.0
4.9756 0.0000 0.0000
-2.4878 5.2000 0.0000
0.0000 0.0000 5.1451
K Se
2 2
direct
0.6436 0.2873 0.2500
0.3564 0.7127 0.7500
0.0400 0.0800 0.7500
0.9600 0.9200 0.2500

=====

AgIrW2 GGA-PBEsol relaxed; offset from the most stable computed form = 497.5 meV per atom; N(E_F) = 1.357 states/eV/atom; calculated volume = 62.16 Å³/cell; space-group type = Fm-3m, No. 225; energy = -0.6953 Ry per atom
1.0
-0.0105 3.6234 -2.5770
-3.8372 2.0239 -0.9744
-0.9253 3.9770 1.7598
W Ir Ag
2 1 1
direct
0.7500 0.7500 0.7500
0.2500 0.2500 0.2500
0.5000 0.5000 0.5000
0.0000 0.0000 0.0000

=====

NiSbTe GGA-PBEsol relaxed; N(E_F) = 0.403 states/eV/atom; energy relative to the elements, uncorrected = -230 meV/atom; calculated volume = 64.56 Å³/cell; space-group type = P3m1, No. 156; energy = -0.3658 Ry per atom
1.0
-0.4765 0.4836 3.7816
1.9625 -3.0291 -1.3171
4.2734 2.6837 0.1952
Ni Te Sb
1 1 1
direct
0.0000 0.0000 0.0028
0.6667 0.3333 0.2451
0.3333 0.6667 0.7521

=====

Cd2AsP GGA-PBEsol relaxed; offset from the most stable computed form = 0.0 meV per atom; N(E_F) = 0.444 states/eV/atom; calculated volume = 78.25 Å³/cell; space-group type = P4/mmm, No. 123; energy = -0.2235 Ry per atom
1.0
-1.5839 -1.9077 2.8113
0.3598 -3.1785 -1.9542
5.0188 -0.8258 2.2673
As Cd P
1 2 1
direct
0.5000 0.5000 0.5000
0.0000 0.0000 0.2463
0.0000 0.0000 0.7537
0.5000 0.5000 0.0000

=====

Sc2AgRu GGA-PBEsol relaxed; N(E_F) = 0.672 states/eV/atom; calculated volume = 72.56 Å³/cell; space-group type = Pmm2, No. 25; energy = -0.5011 Ry per atom
1.0
-2.2726 -0.5184 -2.1580
-1.1016 -3.3962 1.9760
-3.6073 2.9658 3.0864
Sc Ru Ag
2 1 1
direct
0.5000 0.5000 0.2774
0.0000 0.0000 0.9425
0.5000 0.5000 0.8062
0.0000 0.0000 0.4739

=====

CdW2 GGA-PBEsol relaxed; N(E_F) = 1.206 states/eV/atom; calculated volume = 59.32 Å³/cell; space-group type = P4/mmm, No. 123; energy = -0.5509 Ry per atom
1.0
2.7152 0.0000 0.0000
0.0000 4.6739 0.0000
0.0000 0.0000 4.6739
Cd W
1 2
direct
0.0000 0.0000 0.0000
0.5000 0.0000 0.5000
0.5000 0.5000 0.0000

=====

AsPbW GGA-PBEsol relaxed; N(E_F) = 0.520 states/eV/atom; calculated volume = 64.28 Å³/cell; space-group type = Fmm2, No. 42; energy = -0.5231 Ry per atom
1.0
2.9825 -0.0094 0.0000
-0.9747 2.8188 0.0000
-1.0039 -1.4047 7.6541
As Pb W
1 1 1
direct
0.0331 0.0331 0.0663
0.3141 0.3141 0.6281
0.6528 0.6528 0.3056

=====

OsSe2Cl GGA-PBEsol relaxed; offset from the most stable computed form = 387.3 meV per atom; N(E_F) = 0.727 states/eV/atom; energy relative to the elements, uncorrected = 408 meV/atom; calculated volume = 75.97 Å³/cell; space-group type = R-3m, No. 166; energy = -0.3729 Ry per atom
1.0
2.7925 0.0000 0.0000
1.3963 2.4184 0.0000
1.3963 0.8061 11.2491
Cl Os Se
1 1 2
direct
0.5000 0.5000 0.5000
0.0000 0.0000 0.0000
0.0714 0.0714 0.7857
0.9286 0.9286 0.2143

=====

Y3ScH GGA-PBEsol relaxed; N(E_F) = 1.085 states/eV/atom; calculated volume = 113.58 Å³/cell; space-group type = Pm-3m, No. 221; energy = -0.4583 Ry per atom
1.0
4.8429 0.0000 0.0000
0.0000 4.8429 0.0000
0.0000 0.0000 4.8429
Y Sc H
3 1 1
direct
0.5000 0.0000 0.0000
0.0000 0.0000 0.5000
0.0000 0.5000 0.0000
0.5000 0.5000 0.5000
0.0000 0.0000 0.0000

=====

Ba3SnBi GGA-PBEsol relaxed; N(E_F) = 1.370 states/eV/atom; calculated volume = 279.30 Å³/cell; space-group type = Pm-3m, No. 221; energy = -0.2396 Ry per atom
1.0
-2.9110 5.3901 2.2807
-5.8504 -2.6084 -1.3026
-0.1641 -2.6213 5.9858
Ba Sn Bi
3 1 1
direct
0.5000 0.0000 0.0000
0.0000 0.5000 0.0000
0.0000 0.0000 0.5000
0.5000 0.5000 0.5000
0.0000 0.0000 0.0000

=====

LiTaSN2 GGA-PBEsol relaxed; N(E_F) = 0.723 states/eV/atom; energy relative to the elements, uncorrected = 1013 meV/atom; calculated volume = 52.81 Å³/cell; space-group type = P4/mmm, No. 123; energy = -0.4541 Ry per atom
1.0
-2.7027 -1.9847 1.1930
2.1763 -2.8036 0.2663
0.9268 1.0913 3.9151
N S Ta Li
2 1 1 1
direct
0.5000 0.0000 0.0000
0.0000 0.5000 0.0000
0.0000 0.0000 0.5000
0.5000 0.5000 0.5000
0.0000 0.0000 0.0000